Record 1
## Pa2HOs (PBE)

Data for crystalline Pa2HOs at its relaxed geometry.

As for the calculated volume: 296 Å³ per cell. The density of states at the Fermi level comes out at 1.75 states/eV per atom. Its total energy is -98.66 eV/cell.

Cell lengths 3.967, 3.967, 21.738 Å; angles 90.00, 90.00, 120.00 degrees
Element x y z (fractional)
Pa (0.000, 0.000, 0.097)
Pa (0.000, 0.000, 0.903)
Pa (0.333, 0.667, 0.570)
Pa (0.333, 0.667, 0.763)
Pa (0.667, 0.333, 0.237)
Pa (0.667, 0.333, 0.430)
H (0.000, 0.000, 0.000)
H (0.333, 0.667, 0.667)
H (0.667, 0.333, 0.333)
Os (0.000, 0.000, 0.500)
Os (0.333, 0.667, 0.167)
Os (0.667, 0.333, 0.833)

Record 2
## BaNiAs2Se8 (PBE)

Data for crystalline BaNiAs2Se8 at its relaxed geometry.

As for the calculated volume: 333 Å³ per cell. The uncorrected formation energy comes out at -0.340 eV/atom. The density of states at the Fermi level comes out at 0.17 states/eV per atom. Its total energy is -48.95 eV/cell.

Cell lengths 6.411, 6.411, 9.342 Å; angles 90.00, 90.00, 120.00 degrees
Element x y z (fractional)
Ba (0.000, 0.000, 0.000)
Ni (0.000, 0.000, 0.500)
As (0.333, 0.667, 0.712)
As (0.667, 0.333, 0.288)
Se (0.018, 0.735, 0.327)
Se (0.265, 0.283, 0.327)
Se (0.283, 0.018, 0.673)
Se (0.333, 0.667, 0.961)
Se (0.667, 0.333, 0.039)
Se (0.717, 0.982, 0.327)
Se (0.735, 0.717, 0.673)
Se (0.982, 0.265, 0.673)

Record 3
## ErHfCd2 (PBE)

Data for crystalline ErHfCd2 at its relaxed geometry.

For the calculated formation energy, the calculation gives 0.02 eV/atom. As for the calculated volume: 291 Å³ per cell. The density of states at the Fermi level comes out at 0.91 states/eV per atom. Its total energy is -48.77 eV/cell.

Cell lengths 3.330, 3.330, 30.298 Å; angles 90.00, 90.00, 120.00 degrees
Element x y z (fractional)
Er (0.000, 0.000, 0.000)
Er (0.333, 0.667, 0.667)
Er (0.667, 0.333, 0.333)
Hf (0.000, 0.000, 0.500)
Hf (0.333, 0.667, 0.167)
Hf (0.667, 0.333, 0.833)
Cd (0.000, 0.000, 0.247)
Cd (0.000, 0.000, 0.753)
Cd (0.333, 0.667, 0.420)
Cd (0.333, 0.667, 0.914)
Cd (0.667, 0.333, 0.086)
Cd (0.667, 0.333, 0.580)

Record 4
## NdBeAlCu (PBE)

Data for crystalline NdBeAlCu at its relaxed geometry.

For the calculated formation energy, the calculation gives -0.14 eV/atom. As for the calculated volume: 276 Å³ per cell. The density of states at the Fermi level comes out at 0.34 states/eV per atom. Its total energy is -67.51 eV/cell.

Cell lengths 6.514, 6.514, 6.514 Å; angles 90.00, 90.00, 90.00 degrees
Element x y z (fractional)
Nd (0.000, 0.000, 0.000)
Nd (0.000, 0.500, 0.500)
Nd (0.500, 0.000, 0.500)
Nd (0.500, 0.500, 0.000)
Be (0.250, 0.250, 0.750)
Be (0.250, 0.750, 0.250)
Be (0.750, 0.250, 0.250)
Be (0.750, 0.750, 0.750)
Al (0.000, 0.000, 0.500)
Al (0.000, 0.500, 0.000)
Al (0.500, 0.000, 0.000)
Al (0.500, 0.500, 0.500)
Cu (0.250, 0.250, 0.250)
Cu (0.250, 0.750, 0.750)
Cu (0.750, 0.250, 0.750)
Cu (0.750, 0.750, 0.250)